# 1
Here is a relaxed structure of HfAl4Co from Alexandria via LeMat-Bulk. Energies are from PBE.

Summary:
Space-group type: C2/m
ΔH_f (0 K): -240.2 meV/atom

Unit cell a=7.7267 b=7.7267 c=4.7759 alpha=107.69 beta=107.69 gamma=46.97
Last column: nearest neighbours and their distance in Å.
Positions (direct):
Hf  0.2046  0.2046  0.2027  12 Al 2.93-3.14
Hf  0.7954  0.7954  0.7973  12 Al 2.93-3.14
Al  0.1189  0.6527  0.3923  2 Co 2.47-2.54
Al  0.1941  0.8059  0.0000  2 Co 2.28, 1 Al 2.39
Al  0.3410  0.3410  0.8318  2 Co 2.45-2.52
Al  0.3473  0.8811  0.6077  2 Co 2.47-2.54
Al  0.6527  0.1189  0.3923  2 Co 2.47-2.54
Al  0.6590  0.6590  0.1682  2 Co 2.45-2.52
Al  0.8059  0.1941  0.0000  2 Co 2.28, 1 Al 2.39
Al  0.8811  0.3473  0.6077  2 Co 2.47-2.54
Co  0.4944  0.4944  0.2621  1 Co 2.22, 5 Al 2.28-2.47
Co  0.5056  0.5056  0.7379  1 Co 2.22, 5 Al 2.28-2.47

# 2
Here is a relaxed structure of Er2MgPa from Alexandria via LeMat-Bulk. Energies are from PBE.

Summary:
Space-group type: P4/mmm
Polymorph energy (0 for the lowest one): 198.7 meV per atom
ΔH_f (0 K): 244.5 meV/atom

Unit cell a=4.8484 b=4.8484 c=4.6050 alpha=90.00 beta=90.00 gamma=90.00
Last column: nearest neighbours and their distance in Å.
Positions (direct):
Er  0.0000  0.5000  0.0000  4 Pa 3.34, 4 Mg 3.34, 4 Er 3.43
Er  0.5000  0.0000  0.0000  4 Pa 3.34, 4 Mg 3.34, 4 Er 3.43
Mg  0.0000  0.0000  0.5000  8 Er 3.34, 4 Pa 3.43
Pa  0.5000  0.5000  0.5000  8 Er 3.34, 4 Mg 3.43

# 3
Here is a relaxed structure of K2AgSnCl8 from Alexandria via LeMat-Bulk. Energies are from PBE.

Summary:
Formation energy (no corrections): -1.14 eV/atom
Space-group type: P-1

Unit cell a=7.1410 b=7.6087 c=8.4339 alpha=78.10 beta=82.00 gamma=66.32
Last column: nearest neighbours and their distance in Å.
Positions (direct):
K  0.1176  0.1512  0.2099  7 Cl 3.10-3.38
K  0.8824  0.8488  0.7901  7 Cl 3.10-3.38
Ag  0.5000  0.5000  0.5000  4 Cl 2.42-2.59
Sn  0.5000  0.5000  0.0000  6 Cl 2.45-2.55
Cl  0.2188  0.8125  0.5012  1 Ag 2.42
Cl  0.2635  0.4088  0.8815  1 Sn 2.46
Cl  0.2659  0.8422  0.9582  1 Sn 2.45
Cl  0.3236  0.4433  0.2785  1 Sn 2.55, 1 Ag 2.59
Cl  0.6764  0.5567  0.7215  1 Sn 2.55, 1 Ag 2.59
Cl  0.7341  0.1578  0.0418  1 Sn 2.45
Cl  0.7365  0.5912  0.1185  1 Sn 2.46
Cl  0.7812  0.1875  0.4988  1 Ag 2.42

# 4
Here is a relaxed structure of Y5S5N2 from Alexandria via LeMat-Bulk. Energies are from PBE.

Summary:
Formation energy (no corrections): -1.80 eV/atom
Space-group type: C2/m

Unit cell a=6.5692 b=6.5692 c=10.6754 alpha=106.20 beta=106.20 gamma=33.45
Last column: nearest neighbours and their distance in Å.
Positions (direct):
Y  0.0000  0.0000  0.0000  2 N 2.39
Y  0.1002  0.1002  0.3815  1 N 2.21
Y  0.3462  0.3462  0.2016  2 N 2.34
Y  0.6538  0.6538  0.7984  2 N 2.34
Y  0.8998  0.8998  0.6185  1 N 2.21
S  0.2509  0.2509  0.6411  5 Y 2.72-3.01, 1 S 3.02
S  0.3366  0.3366  0.9362  5 Y 2.73-3.01, 1 S 3.02
S  0.5000  0.5000  0.5000  4 Y 2.77
S  0.6634  0.6634  0.0638  5 Y 2.73-3.01, 1 S 3.02
S  0.7491  0.7491  0.3589  5 Y 2.72-3.01, 1 S 3.02
N  0.0434  0.0434  0.7965  4 Y 2.21-2.39
N  0.9566  0.9566  0.2035  4 Y 2.21-2.39